BaNa3Hg (PBE, relaxed); formation energy from the elements = -0.1614 eV per atom; uncorrected energy = -1.40 eV per atom; E above lowest polymorph = 0 meV per atom; Fermi-level density of states = 6.1 states/eV/cell; calculated volume = 388.9 Å³ per cell; SG = Cmmm, No. 65
1.0
2.5120 -16.6174 0.0000
2.5120 16.6174 0.0000
0.0000 0.0000 4.6580
Ba Na Hg
2 6 2
Direct
0.1527 0.8473 0.0000
0.8473 0.1527 0.0000
0.0529 0.9471 0.5000
0.2823 0.7177 0.5000
0.4480 0.5520 0.0000
0.5520 0.4480 0.0000
0.7177 0.2823 0.5000
0.9471 0.0529 0.5000
0.3814 0.6186 0.5000
0.6186 0.3814 0.5000